No. 1
First-principles (GGA-PBEsol) data for La2InMo after structural relaxation, as listed in the Alexandria database.

It has space group P4mm (No. 99), with a = 3.663 Å, b = 3.663 Å, c = 7.106 Å, α = 90.00°, β = 90.00° and γ = 90.00°. Symmetry generates all atoms from La at (0.000, 0.000, 0.000), La at (0.500, 0.500, 0.294), In at (0.500, 0.500, 0.727) and Mo at (0.000, 0.000, 0.550).

For the density of states at the Fermi level, the calculation gives 3.96 states/eV/cell. As for the total moment: 0.00 μB/f.u. The formation energy from the elements comes out at 0.17 eV per atom.

***

No. 2
First-principles (GGA-PBEsol) data for La2InMo after structural relaxation, as listed in the Alexandria database.

It has space group Cmm2 (No. 35), with a = 3.509 Å, b = 5.396 Å, c = 10.525 Å, α = 90.00°, β = 90.00° and γ = 90.00°. Symmetry generates all atoms from La at (0.000, 0.000, 0.000), La at (0.000, 0.500, 0.327), In at (0.000, 0.000, 0.592) and Mo at (0.000, 0.500, 0.798).

For the density of states at the Fermi level, the calculation gives 9.79 states/eV/cell. As for the total moment: 0.00 μB/f.u. The formation energy from the elements comes out at 0.31 eV per atom.

***

No. 3
First-principles (GGA-PBEsol) data for La2InMo after structural relaxation, as listed in the Alexandria database.

It has space group F-43m (No. 216), with a = 7.209 Å, b = 7.209 Å, c = 7.209 Å, α = 90.00°, β = 90.00° and γ = 90.00°. Symmetry generates all atoms from La at (0.000, 0.000, 0.000), La at (0.250, 0.250, 0.250), In at (0.250, 0.250, 0.750) and Mo at (0.000, 0.000, 0.500).

For the density of states at the Fermi level, the calculation gives 22.99 states/eV/cell. As for the total moment: 0.00 μB/f.u. The formation energy from the elements comes out at 0.21 eV per atom.